Record 1
Below is a relaxed Cd2MoRu crystal, with properties calculated at the GGA-PBE level.

Cell lengths 4.6069, 4.6069, 4.6069 Å; angles 60.00, 60.00, 60.00 degrees
Last column: nearest neighbours and their distance in Å.
Atoms (fractional coordinates):
1 Cd 0.2500 0.2500 0.2500  4 Mo 2.82, 4 Ru 2.82
2 Cd 0.7500 0.7500 0.7500  4 Ru 2.82, 4 Mo 2.82
3 Mo 0.0000 0.0000 0.0000  8 Cd 2.82
4 Ru 0.5000 0.5000 0.5000  8 Cd 2.82

Output
Space group: No. 225
Spin magnetization, μB per cell: 0.4
Volume, Å³/atom: 17.28
Excess energy over the best structure of this formula in the dataset, eV/atom: 0.574

Record 2
Below is a relaxed NdDy2Cu9 crystal, with properties calculated at the GGA-PBE level.

Cell lengths 8.8022, 8.8022, 8.8022 Å; angles 34.49, 34.49, 34.49 degrees
Last column: nearest neighbours and their distance in Å.
Atoms (fractional coordinates):
1 Nd 0.0000 0.0000 0.0000  18 Cu 3.01-3.32
2 Dy 0.1435 0.1435 0.1435  12 Cu 3.01-3.07, 3 Dy 3.23
3 Dy 0.8565 0.8565 0.8565  12 Cu 3.01-3.07, 3 Dy 3.23
4 Cu 0.0838 0.5820 0.5820  7 Cu 2.52-2.62
5 Cu 0.3321 0.3321 0.3321  6 Cu 2.52-2.56
6 Cu 0.4180 0.4180 0.9162  7 Cu 2.52-2.62
7 Cu 0.4180 0.9162 0.4180  7 Cu 2.52-2.62
8 Cu 0.5000 0.5000 0.5000  6 Cu 2.57
9 Cu 0.5820 0.0838 0.5820  7 Cu 2.52-2.62
10 Cu 0.5820 0.5820 0.0838  7 Cu 2.52-2.62
11 Cu 0.6679 0.6679 0.6679  6 Cu 2.52-2.56
12 Cu 0.9162 0.4180 0.4180  7 Cu 2.52-2.62

Output
Space group: No. 166
Spin magnetization, μB per cell: 0.0
Volume, Å³/atom: 16.26

Record 3
Below is a relaxed AcLa2PmP4 crystal, with properties calculated at the GGA-PBE level.

Cell lengths 7.4196, 4.2887, 7.4274 Å; angles 90.00, 109.41, 90.00 degrees
Last column: nearest neighbours and their distance in Å.
Atoms (fractional coordinates):
1 Ac 0.0000 0.0000 0.0000  6 P 3.07
2 La 0.5000 0.0000 0.5000  6 P 2.99
3 La 0.5000 0.5000 0.0000  6 P 3.06
4 Pm 0.0000 0.5000 0.5000  6 P 3.00-3.01
5 P 0.2491 0.0000 0.7427  3 La 2.99-3.06, 2 Pm 3.01, 1 Ac 3.07
6 P 0.2544 0.5000 0.2591  3 La 2.99-3.06, 1 Pm 3.00, 2 Ac 3.07
7 P 0.7456 0.5000 0.7409  3 La 2.99-3.06, 1 Pm 3.00, 2 Ac 3.07
8 P 0.7509 0.0000 0.2573  3 La 2.99-3.06, 2 Pm 3.01, 1 Ac 3.07

Output
Space group: No. 10
Spin magnetization, μB per cell: 0.0
Volume, Å³/atom: 27.86

Record 4
Below is a relaxed YCu3Ni8 crystal, with properties calculated at the GGA-PBE level.

Cell lengths 4.7618, 4.7618, 7.7802 Å; angles 90.00, 90.00, 120.00 degrees
Last column: nearest neighbours and their distance in Å.
Atoms (fractional coordinates):
1 Y 0.0000 0.0000 0.0000  12 Ni 2.80-2.86, 4 Cu 3.03-3.04
2 Cu 0.0000 0.0000 0.3895  12 Ni 2.61-2.82, 3 Cu 2.87
3 Cu 0.6667 0.3333 0.4946  4 Cu 2.63-2.87, 12 Ni 2.69-2.79
4 Cu 0.6667 0.3333 0.8323  1 Cu 2.63, 9 Ni 2.67-2.86
5 Ni 0.1646 0.3292 0.6759  6 Ni 2.35-2.43, 1 Cu 2.61
6 Ni 0.1646 0.8354 0.6759  6 Ni 2.35-2.43, 1 Cu 2.61
7 Ni 0.3333 0.6667 0.4330  6 Ni 2.32-2.35
8 Ni 0.3333 0.6667 0.9315  6 Ni 2.43-2.49
9 Ni 0.5035 0.0070 0.1958  6 Ni 2.32-2.49
10 Ni 0.5035 0.4965 0.1958  6 Ni 2.32-2.49
11 Ni 0.6708 0.8354 0.6759  6 Ni 2.35-2.43, 1 Cu 2.61
12 Ni 0.9930 0.4965 0.1958  6 Ni 2.32-2.49

Output
Space group: No. 156
Spin magnetization, μB per cell: 3.1
Volume, Å³/atom: 12.73

Number 1: ΔH_f (0 K) 16.0 kcal/mol of atoms. Number 2: ΔH_f (0 K) -4.3 kcal/mol of atoms. Number 3: ΔH_f (0 K) -35.2 kcal/mol of atoms. Number 4: ΔH_f (0 K) -0.9 kcal/mol of atoms.